## ScBePb2 (GGA-PBE)

Data for crystalline ScBePb2 at its relaxed geometry.

a b c (Å): 3.3720 4.2267 6.5345
angles (deg): 90.00 90.09 90.00
With the nearest neighbours (Å) after each atom.
Fractional positions:
Sc1 0.0000 0.0000 0.0000  8 Pb 3.17-3.18, 2 Sc 3.37
Be1 0.5000 0.0000 0.5000  4 Pb 2.65
Pb1 0.4970 0.5000 0.7444  2 Be 2.65
Pb2 0.5030 0.5000 0.2556  2 Be 2.65

## Properties
Formation energy from the elements, kJ/mol of formula units: 81.3